1.
The following is a DFT calculation (PBE-GGA) of Ba8Pt2F after structural relaxation.

## Properties
Its total energy is -3.33 eV per atom. The calculation puts the theoretical density at 4468 kg/m³. As for the formation energy (no corrections): -668 meV/atom. As for the density of states at the Fermi level: 11.49 states/eV per cell.

Lattice parameters (Å, degrees): 9.9867 9.9867 6.4779 92.11 92.11 60.24
Positions (direct):
Ba: 0.1141 0.7224 0.7730
Ba: 0.2099 0.2099 0.7434
Ba: 0.2776 0.8859 0.2270
Ba: 0.3912 0.3912 0.2609
Ba: 0.6088 0.6088 0.7391
Ba: 0.7224 0.1141 0.7730
Ba: 0.7901 0.7901 0.2566
Ba: 0.8859 0.2776 0.2270
Pt: 0.2142 0.2142 0.2459
Pt: 0.7858 0.7858 0.7541
F: 0.0000 0.0000 0.0000



2.
The following is a DFT calculation (PBE-GGA) of LiPu2UTe5 after structural relaxation.

## Properties
Its total energy is -7.24 eV per atom. The calculation puts the theoretical density at 8504 kg/m³. As for the formation energy (no corrections): -845 meV/atom. As for the density of states at the Fermi level: 67.52 states/eV per cell.

Lattice parameters (Å, degrees): 9.4927 9.4927 13.2842 90.00 90.00 153.43
Positions (direct):
Li: 0.0549 0.9451 0.5000
Li: 0.9451 0.0549 0.0000
Pu: 0.3752 0.6248 0.3501
Pu: 0.3922 0.6078 0.7267
Pu: 0.6078 0.3922 0.2267
Pu: 0.6248 0.3752 0.8501
U: 0.2975 0.7025 0.0544
U: 0.7025 0.2975 0.5544
Te: 0.0028 0.9972 0.8178
Te: 0.1329 0.8671 0.0445
Te: 0.1885 0.8115 0.3917
Te: 0.2133 0.7867 0.7144
Te: 0.4506 0.5494 0.1137
Te: 0.5494 0.4506 0.6137
Te: 0.7867 0.2133 0.2144
Te: 0.8115 0.1885 0.8917
Te: 0.8671 0.1329 0.5445
Te: 0.9972 0.0028 0.3178



3.
The following is a DFT calculation (PBE-GGA) of Tm12Be3H5 after structural relaxation.

## Properties
Its total energy is -4.18 eV per atom. The calculation puts the theoretical density at 8526 kg/m³. As for the density of states at the Fermi level: 70.28 states/eV per cell.

Lattice parameters (Å, degrees): 12.7730 12.7730 12.7730 109.47 109.47 109.47
Positions (direct):
Tm: 0.0239 0.2137 0.1179
Tm: 0.0239 0.3102 0.9060
Tm: 0.0940 0.6179 0.4042
Tm: 0.0940 0.9761 0.6898
Tm: 0.0958 0.7137 0.6898
Tm: 0.0958 0.8821 0.4060
Tm: 0.1179 0.0239 0.2137
Tm: 0.1179 0.5940 0.9042
Tm: 0.1898 0.2137 0.5958
Tm: 0.1898 0.4761 0.5940
Tm: 0.2137 0.1179 0.0239
Tm: 0.2137 0.5958 0.1898
Tm: 0.2863 0.3102 0.9042
Tm: 0.2863 0.4761 0.3821
Tm: 0.3102 0.9042 0.2863
Tm: 0.3102 0.9060 0.0239
Tm: 0.3821 0.2863 0.4761
Tm: 0.3821 0.5958 0.9060
Tm: 0.4042 0.0940 0.6179
Tm: 0.4042 0.8102 0.7863
Tm: 0.4060 0.0958 0.8821
Tm: 0.4060 0.8102 0.5239
Tm: 0.4761 0.3821 0.2863
Tm: 0.4761 0.5940 0.1898
Tm: 0.5239 0.4060 0.8102
Tm: 0.5239 0.6179 0.7137
Tm: 0.5940 0.1898 0.4761
Tm: 0.5940 0.9042 0.1179
Tm: 0.5958 0.1898 0.2137
Tm: 0.5958 0.9060 0.3821
Tm: 0.6179 0.4042 0.0940
Tm: 0.6179 0.7137 0.5239
Tm: 0.6898 0.0940 0.9761
Tm: 0.6898 0.0958 0.7137
Tm: 0.7137 0.5239 0.6179
Tm: 0.7137 0.6898 0.0958
Tm: 0.7863 0.4042 0.8102
Tm: 0.7863 0.8821 0.9761
Tm: 0.8102 0.5239 0.4060
Tm: 0.8102 0.7863 0.4042
Tm: 0.8821 0.4060 0.0958
Tm: 0.8821 0.9761 0.7863
Tm: 0.9042 0.1179 0.5940
Tm: 0.9042 0.2863 0.3102
Tm: 0.9060 0.0239 0.3102
Tm: 0.9060 0.3821 0.5958
Tm: 0.9761 0.6898 0.0940
Tm: 0.9761 0.7863 0.8821
Be: 0.1250 0.2500 0.3750
Be: 0.1250 0.3750 0.7500
Be: 0.2500 0.3750 0.1250
Be: 0.2500 0.8750 0.6250
Be: 0.3750 0.1250 0.2500
Be: 0.3750 0.7500 0.1250
Be: 0.6250 0.2500 0.8750
Be: 0.6250 0.8750 0.7500
Be: 0.7500 0.1250 0.3750
Be: 0.7500 0.6250 0.8750
Be: 0.8750 0.6250 0.2500
Be: 0.8750 0.7500 0.6250
H: 0.0000 0.0000 0.0000
H: 0.0000 0.0000 0.5000
H: 0.0000 0.5000 0.0000
H: 0.0000 0.5000 0.5000
H: 0.1250 0.7500 0.8750
H: 0.1250 0.8750 0.2500
H: 0.2500 0.1250 0.8750
H: 0.2500 0.6250 0.3750
H: 0.3750 0.2500 0.6250
H: 0.3750 0.6250 0.7500
H: 0.5000 0.0000 0.0000
H: 0.5000 0.0000 0.5000
H: 0.5000 0.5000 0.0000
H: 0.5000 0.5000 0.5000
H: 0.6250 0.3750 0.2500
H: 0.6250 0.7500 0.3750
H: 0.7500 0.3750 0.6250
H: 0.7500 0.8750 0.1250
H: 0.8750 0.1250 0.7500
H: 0.8750 0.2500 0.1250



4.
The following is a DFT calculation (PBE-GGA) of LiCu3Ni after structural relaxation.

## Properties
Its total energy is -3.97 eV per atom. The calculation puts the theoretical density at 6757 kg/m³. As for the density of states at the Fermi level: 6.05 states/eV per cell. The relative energy among the computed polymorphs is 33 meV per atom. The calculation puts the formation energy from the elements at 0.023 eV per atom.

Lattice parameters (Å, degrees): 4.9021 6.4782 7.9328 90.00 90.25 90.00
Positions (direct):
Li: 0.2502 0.0299 0.0936
Li: 0.2502 0.4701 0.5936
Li: 0.7498 0.5299 0.4064
Li: 0.7498 0.9701 0.9064
Cu: 0.0122 0.1599 0.4166
Cu: 0.0122 0.3401 0.9166
Cu: 0.2499 0.7350 0.8304
Cu: 0.2499 0.7650 0.3304
Cu: 0.4891 0.1596 0.4161
Cu: 0.4891 0.3404 0.9161
Cu: 0.5109 0.6596 0.0839
Cu: 0.5109 0.8404 0.5839
Cu: 0.7501 0.2350 0.6696
Cu: 0.7501 0.2650 0.1696
Cu: 0.9878 0.6599 0.0834
Cu: 0.9878 0.8401 0.5834
Ni: 0.2498 0.1125 0.7161
Ni: 0.2498 0.3875 0.2161
Ni: 0.7502 0.6125 0.7839
Ni: 0.7502 0.8875 0.2839